Below is TlCr3 at its PBEsol-relaxed geometry, with properties calculated at the meta-GGA SCAN level.

## Properties
DFT formation energy	0.62	eV/atom
DOS at the Fermi energy	2.9	states/eV/f.u.

a b c (Å): 2.9182 2.9182 7.8321
angles (deg): 90.00 90.00 120.00
Last column: nearest neighbours and their distance in Å.
Fractional positions:
Tl (0.0000, 0.0000, 0.0000)  6 Cr 2.88, 6 Tl 2.92
Cr (0.0000, 0.0000, 0.5000)  6 Cr 2.31
Cr (0.6667, 0.3333, 0.2977)  3 Cr 2.31
Cr (0.6667, 0.3333, 0.7023)  3 Cr 2.31


Below is Tl3Cr at its PBEsol-relaxed geometry, with properties calculated at the meta-GGA SCAN level.

## Properties
DFT formation energy	0.30	eV/atom
DOS at the Fermi energy	2.4	states/eV/f.u.

a b c (Å): 7.3184 7.3184 7.3184
angles (deg): 90.00 90.00 90.00
Last column: nearest neighbours and their distance in Å.
Fractional positions:
Tl (0.0000, 0.0000, 0.0000)  8 Tl 3.17
Tl (0.0000, 0.5000, 0.5000)  8 Tl 3.17
Tl (0.2500, 0.2500, 0.2500)  4 Cr 3.17, 4 Tl 3.17
Tl (0.2500, 0.2500, 0.7500)  4 Cr 3.17, 4 Tl 3.17
Tl (0.2500, 0.7500, 0.2500)  4 Cr 3.17, 4 Tl 3.17
Tl (0.2500, 0.7500, 0.7500)  4 Cr 3.17, 4 Tl 3.17
Tl (0.5000, 0.0000, 0.5000)  8 Tl 3.17
Tl (0.5000, 0.5000, 0.0000)  8 Tl 3.17
Tl (0.7500, 0.2500, 0.2500)  4 Cr 3.17, 4 Tl 3.17
Tl (0.7500, 0.2500, 0.7500)  4 Cr 3.17, 4 Tl 3.17
Tl (0.7500, 0.7500, 0.2500)  4 Cr 3.17, 4 Tl 3.17
Tl (0.7500, 0.7500, 0.7500)  4 Tl 3.17, 4 Cr 3.17
Cr (0.0000, 0.0000, 0.5000)  8 Tl 3.17
Cr (0.0000, 0.5000, 0.0000)  8 Tl 3.17
Cr (0.5000, 0.0000, 0.0000)  8 Tl 3.17
Cr (0.5000, 0.5000, 0.5000)  8 Tl 3.17


Below is TlCr3 at its PBEsol-relaxed geometry, with properties calculated at the meta-GGA SCAN level.

## Properties
DFT formation energy	0.49	eV/atom
DOS at the Fermi energy	2.8	states/eV/f.u.

a b c (Å): 3.1267 3.1267 5.7822
angles (deg): 90.00 90.00 90.00
Last column: nearest neighbours and their distance in Å.
Fractional positions:
Tl (0.0000, 0.0000, 0.0000)  10 Cr 2.88-2.89, 4 Tl 3.13
Cr (0.0000, 0.0000, 0.5000)  8 Cr 2.44
Cr (0.5000, 0.5000, 0.3197)  1 Cr 2.08
Cr (0.5000, 0.5000, 0.6803)  1 Cr 2.08


Below is TlCrW3 at its PBEsol-relaxed geometry, with properties calculated at the meta-GGA SCAN level.

## Properties
DFT formation energy	3.44	eV/atom
DOS at the Fermi energy	6.0	states/eV/f.u.

a b c (Å): 4.8846 4.8846 4.8846
angles (deg): 90.00 90.00 90.00
Last column: nearest neighbours and their distance in Å.
Fractional positions:
Tl (0.0000, 0.0000, 0.0000)  6 W 2.44
Cr (0.5000, 0.5000, 0.5000)  12 W 3.45
W (0.0000, 0.0000, 0.5000)  2 Tl 2.44
W (0.0000, 0.5000, 0.0000)  2 Tl 2.44
W (0.5000, 0.0000, 0.0000)  2 Tl 2.44


Below is TlCrW at its PBEsol-relaxed geometry, with properties calculated at the meta-GGA SCAN level.

## Properties
DFT formation energy	0.72	eV/atom
DOS at the Fermi energy	1.8	states/eV/f.u.

a b c (Å): 3.1510 3.1510 9.7907
angles (deg): 90.00 90.00 90.00
Last column: nearest neighbours and their distance in Å.
Fractional positions:
Tl (0.0000, 0.0000, 0.0000)  5 Cr 2.85-3.11, 5 W 2.95, 4 Tl 3.15
Tl (0.5000, 0.5000, 0.5000)  5 Cr 2.85-3.11, 5 W 2.95, 4 Tl 3.15
Cr (0.0000, 0.0000, 0.6820)  4 W 2.52
Cr (0.5000, 0.5000, 0.1820)  4 W 2.52
W (0.0000, 0.0000, 0.3018)  4 Cr 2.52
W (0.5000, 0.5000, 0.8018)  4 Cr 2.52


Below is Tl2ZnCr at its PBEsol-relaxed geometry, with properties calculated at the meta-GGA SCAN level.

## Properties
DFT formation energy	0.29	eV/atom
excess energy over the best structure of this formula in the dataset	0.008	eV/atom
DOS at the Fermi energy	1.7	states/eV/f.u.

a b c (Å): 12.3249 3.1121 4.6357
angles (deg): 90.00 111.92 90.00
Last column: nearest neighbours and their distance in Å.
Fractional positions:
Tl (0.0000, 0.0000, 0.0000)  2 Cr 2.97, 4 Zn 2.99, 2 Tl 3.11
Tl (0.2182, 0.0000, 0.7175)  4 Cr 2.79, 2 Tl 3.11
Tl (0.5000, 0.5000, 0.0000)  2 Cr 2.97, 4 Zn 2.99, 2 Tl 3.11
Tl (0.7182, 0.5000, 0.7175)  4 Cr 2.79, 2 Tl 3.11
Zn (0.4064, 0.0000, 0.4060)  2 Cr 2.63
Zn (0.9064, 0.5000, 0.4060)  2 Cr 2.63
Cr (0.2214, 0.5000, 0.2206)  2 Zn 2.63, 4 Tl 2.79
Cr (0.7214, 0.0000, 0.2206)  2 Zn 2.63, 4 Tl 2.79


Below is Tl2ZnCr at its PBEsol-relaxed geometry, with properties calculated at the meta-GGA SCAN level.

## Properties
DFT formation energy	0.35	eV/atom
excess energy over the best structure of this formula in the dataset	0.070	eV/atom
DOS at the Fermi energy	2.0	states/eV/f.u.

a b c (Å): 3.3098 3.3098 26.3042
angles (deg): 90.00 90.00 120.00
Last column: nearest neighbours and their distance in Å.
Fractional positions:
Tl (0.0000, 0.0000, 0.2503)  3 Cr 2.90, 3 Zn 2.91
Tl (0.0000, 0.0000, 0.7497)  3 Cr 2.90, 3 Zn 2.91
Tl (0.3333, 0.6667, 0.4163)  3 Cr 2.90, 3 Zn 2.91
Tl (0.3333, 0.6667, 0.9170)  3 Cr 2.90, 3 Zn 2.91
Tl (0.6667, 0.3333, 0.0830)  3 Cr 2.90, 3 Zn 2.91
Tl (0.6667, 0.3333, 0.5837)  3 Cr 2.90, 3 Zn 2.91
Zn (0.0000, 0.0000, 0.5000)  6 Tl 2.91
Zn (0.3333, 0.6667, 0.1667)  6 Tl 2.91
Zn (0.6667, 0.3333, 0.8333)  6 Tl 2.91
Cr (0.0000, 0.0000, 0.0000)  6 Tl 2.90
Cr (0.3333, 0.6667, 0.6667)  6 Tl 2.90
Cr (0.6667, 0.3333, 0.3333)  6 Tl 2.90


Below is Tl2ZnCr at its PBEsol-relaxed geometry, with properties calculated at the meta-GGA SCAN level.

## Properties
DFT formation energy	0.35	eV/atom
excess energy over the best structure of this formula in the dataset	0.068	eV/atom
DOS at the Fermi energy	2.4	states/eV/f.u.

a b c (Å): 4.1953 4.1953 9.0865
angles (deg): 90.00 90.00 90.00
Last column: nearest neighbours and their distance in Å.
Fractional positions:
Tl (0.0000, 0.0000, 0.0000)  4 Zn 2.97, 4 Cr 3.09, 4 Tl 3.09
Tl (0.0000, 0.5000, 0.2500)  4 Cr 2.97, 4 Tl 3.09, 4 Zn 3.09
Tl (0.5000, 0.0000, 0.7500)  4 Cr 2.97, 4 Tl 3.09, 4 Zn 3.09
Tl (0.5000, 0.5000, 0.5000)  4 Zn 2.97, 4 Cr 3.09, 4 Tl 3.09
Zn (0.0000, 0.0000, 0.5000)  8 Tl 2.97-3.09, 4 Cr 3.09
Zn (0.5000, 0.5000, 0.0000)  8 Tl 2.97-3.09, 4 Cr 3.09
Cr (0.0000, 0.5000, 0.7500)  8 Tl 2.97-3.09, 4 Zn 3.09
Cr (0.5000, 0.0000, 0.2500)  8 Tl 2.97-3.09, 4 Zn 3.09


Below is Tl2ZnCr at its PBEsol-relaxed geometry, with properties calculated at the meta-GGA SCAN level.

## Properties
DFT formation energy	0.28	eV/atom
excess energy over the best structure of this formula in the dataset	0.000	eV/atom
DOS at the Fermi energy	1.8	states/eV/f.u.

a b c (Å): 4.4214 3.5431 10.5589
angles (deg): 90.00 90.00 90.00
Last column: nearest neighbours and their distance in Å.
Fractional positions:
Tl (0.0000, 0.0000, 0.0000)  3 Cr 2.88-2.98, 4 Zn 2.97
Tl (0.0000, 0.5000, 0.5000)  3 Cr 2.88-2.98, 4 Zn 2.97
Tl (0.5000, 0.0000, 0.3135)  3 Zn 2.87-2.99, 4 Cr 2.98
Tl (0.5000, 0.5000, 0.8135)  3 Zn 2.87-2.99, 4 Cr 2.98
Zn (0.5000, 0.0000, 0.5850)  2 Cr 2.67, 5 Tl 2.87-2.97
Zn (0.5000, 0.5000, 0.0850)  2 Cr 2.67, 5 Tl 2.87-2.97
Cr (0.0000, 0.0000, 0.7271)  2 Zn 2.67, 7 Tl 2.88-2.98
Cr (0.0000, 0.5000, 0.2271)  2 Zn 2.67, 7 Tl 2.88-2.98


Below is Zr2TlCr at its PBEsol-relaxed geometry, with properties calculated at the meta-GGA SCAN level.

## Properties
DFT formation energy	-0.03	eV/atom
excess energy over the best structure of this formula in the dataset	0.011	eV/atom
DOS at the Fermi energy	1.2	states/eV/f.u.

a b c (Å): 6.7584 6.7584 6.7584
angles (deg): 90.00 90.00 90.00
Last column: nearest neighbours and their distance in Å.
Fractional positions:
Zr (0.0000, 0.0000, 0.0000)  4 Cr 2.93, 4 Zr 2.93
Zr (0.0000, 0.5000, 0.5000)  4 Cr 2.93, 4 Zr 2.93
Zr (0.2500, 0.2500, 0.2500)  4 Zr 2.93, 4 Tl 2.93
Zr (0.2500, 0.7500, 0.7500)  4 Zr 2.93, 4 Tl 2.93
Zr (0.5000, 0.0000, 0.5000)  4 Cr 2.93, 4 Zr 2.93
Zr (0.5000, 0.5000, 0.0000)  4 Cr 2.93, 4 Zr 2.93
Zr (0.7500, 0.2500, 0.7500)  4 Zr 2.93, 4 Tl 2.93
Zr (0.7500, 0.7500, 0.2500)  4 Zr 2.93, 4 Tl 2.93
Tl (0.0000, 0.0000, 0.5000)  4 Cr 2.93, 4 Zr 2.93
Tl (0.0000, 0.5000, 0.0000)  4 Cr 2.93, 4 Zr 2.93
Tl (0.5000, 0.0000, 0.0000)  4 Cr 2.93, 4 Zr 2.93
Tl (0.5000, 0.5000, 0.5000)  4 Cr 2.93, 4 Zr 2.93
Cr (0.2500, 0.2500, 0.7500)  4 Zr 2.93, 4 Tl 2.93
Cr (0.2500, 0.7500, 0.2500)  4 Zr 2.93, 4 Tl 2.93
Cr (0.7500, 0.2500, 0.2500)  4 Zr 2.93, 4 Tl 2.93
Cr (0.7500, 0.7500, 0.7500)  4 Zr 2.93, 4 Tl 2.93


Below is ZrTlCr3 at its PBEsol-relaxed geometry, with properties calculated at the meta-GGA SCAN level.

## Properties
DFT formation energy	1.47	eV/atom
DOS at the Fermi energy	3.9	states/eV/f.u.

a b c (Å): 4.7252 4.7252 4.7252
angles (deg): 90.00 90.00 90.00
Last column: nearest neighbours and their distance in Å.
Fractional positions:
Zr (0.0000, 0.0000, 0.0000)  6 Cr 2.36
Tl (0.5000, 0.5000, 0.5000)  12 Cr 3.34
Cr (0.0000, 0.0000, 0.5000)  2 Zr 2.36
Cr (0.0000, 0.5000, 0.0000)  2 Zr 2.36
Cr (0.5000, 0.0000, 0.0000)  2 Zr 2.36


Below is ZrTl2Cr at its PBEsol-relaxed geometry, with properties calculated at the meta-GGA SCAN level.

## Properties
DFT formation energy	0.15	eV/atom
excess energy over the best structure of this formula in the dataset	0.000	eV/atom
DOS at the Fermi energy	2.5	states/eV/f.u.

a b c (Å): 6.8806 6.8806 6.8806
angles (deg): 90.00 90.00 90.00
Last column: nearest neighbours and their distance in Å.
Fractional positions:
Zr (0.0000, 0.0000, 0.0000)  8 Tl 2.98
Zr (0.0000, 0.5000, 0.5000)  8 Tl 2.98
Zr (0.5000, 0.0000, 0.5000)  8 Tl 2.98
Zr (0.5000, 0.5000, 0.0000)  8 Tl 2.98
Tl (0.2500, 0.2500, 0.2500)  4 Cr 2.98, 4 Zr 2.98
Tl (0.2500, 0.2500, 0.7500)  4 Cr 2.98, 4 Zr 2.98
Tl (0.2500, 0.7500, 0.2500)  4 Cr 2.98, 4 Zr 2.98
Tl (0.2500, 0.7500, 0.7500)  4 Cr 2.98, 4 Zr 2.98
Tl (0.7500, 0.2500, 0.2500)  4 Cr 2.98, 4 Zr 2.98
Tl (0.7500, 0.2500, 0.7500)  4 Cr 2.98, 4 Zr 2.98
Tl (0.7500, 0.7500, 0.2500)  4 Cr 2.98, 4 Zr 2.98
Tl (0.7500, 0.7500, 0.7500)  4 Cr 2.98, 4 Zr 2.98
Cr (0.0000, 0.0000, 0.5000)  8 Tl 2.98
Cr (0.0000, 0.5000, 0.0000)  8 Tl 2.98
Cr (0.5000, 0.0000, 0.0000)  8 Tl 2.98
Cr (0.5000, 0.5000, 0.5000)  8 Tl 2.98